# 1
A relaxed structure of SrVIrS2, computed with PBE.

Output
The space group is No. 123. The raw formation energy comes out at 1.730 eV/atom. The calculation puts the uncorrected energy at -0.14160 Ha/atom.

Lattice parameters (Å, degrees): 5.292 5.292 5.041 90.00 90.00 90.00
Fractional coordinates of all 5 atoms:
Sr  0.000  0.000  0.000
V  0.500  0.500  0.500
Ir  0.000  0.000  0.500
S  0.000  0.500  0.000
S  0.500  0.000  0.000

# 2
A relaxed structure of Zr2MnRu, computed with PBE.

Output
The space group is No. 160. For the formation energy, the calculation gives 0.19 eV per atom. The calculation puts the uncorrected energy at -0.31961 Ha/atom.

Lattice parameters (Å, degrees): 9.079 9.079 9.079 19.82 19.82 19.82
Fractional coordinates of all 4 atoms:
Zr  0.000  0.000  0.000
Zr  0.234  0.234  0.234
Mn  0.480  0.480  0.480
Ru  0.742  0.742  0.742

# 3
A relaxed structure of BaZn2Rh, computed with PBE.

Output
The space group is No. 65. For the formation energy, the calculation gives 0.28 eV per atom. The calculation puts the uncorrected energy at -0.09830 Ha/atom.

Lattice parameters (Å, degrees): 5.203 5.203 3.413 90.00 90.00 111.91
Fractional coordinates of all 4 atoms:
Ba  0.000  0.000  0.000
Zn  0.000  0.500  0.500
Zn  0.500  0.000  0.500
Rh  0.500  0.500  0.000

# 4
A relaxed structure of Sm2Y2Rh3, computed with PBE.

Output
The space group is No. 12. Its distance to the lowest polymorph of the same formula is 0 meV per atom. For the formation energy, the calculation gives -0.72 eV per atom. The calculation puts the uncorrected energy at -0.25955 Ha/atom.

Lattice parameters (Å, degrees): 4.849 4.849 8.545 106.47 106.47 60.10
Fractional coordinates of all 7 atoms:
Sm  0.124  0.124  0.373
Sm  0.876  0.876  0.627
Y  0.374  0.374  0.124
Y  0.626  0.626  0.876
Rh  0.000  0.000  0.000
Rh  0.252  0.252  0.755
Rh  0.748  0.748  0.245

# 5
A relaxed structure of CaLa2HgC, computed with PBE.

Output
The space group is No. 123. For the formation energy, the calculation gives -0.18 eV per atom. The calculation puts the uncorrected energy at -0.16365 Ha/atom.

Lattice parameters (Å, degrees): 5.193 5.193 5.080 90.00 90.00 90.00
Fractional coordinates of all 5 atoms:
Ca  0.000  0.000  0.000
La  0.000  0.500  0.500
La  0.500  0.000  0.500
Hg  0.500  0.500  0.000
C  0.000  0.000  0.500

# 6
A relaxed structure of ThPaB, computed with PBE.

Output
The space group is No. 107. Its distance to the lowest polymorph of the same formula is 340 meV per atom. For the formation energy, the calculation gives 0.18 eV per atom. The calculation puts the uncorrected energy at -0.28253 Ha/atom.

Lattice parameters (Å, degrees): 6.282 6.282 6.282 149.41 149.41 43.81
Fractional coordinates of all 3 atoms:
Th  0.000  0.000  0.000
Pa  0.748  0.748  0.000
B  0.358  0.358  0.000

Question: Number 4 is which compound?
Answer: Sm2Y2Rh3